# RbMoF4

A relaxed structure of RbMoF4 (PBE with a Hubbard U, the Alexandria database).

a = 6.7583 Å, b = 5.7476 Å, c = 5.5498 Å
α = 90.00°, β = 90.75°, γ = 90.00°
Space group P2_1/c (No. 14)
Asymmetric unit:
Rb (0.0000, 0.0000, 0.0000) [2 per cell]
Mo (0.5000, 0.0000, 0.5000) [2 per cell]
F (0.2038, 0.0822, 0.4601) [4 per cell]
F (0.4254, 0.6847, 0.3179) [4 per cell]

Values from the calculation:
crystal system: monoclinic
calculated volume: 215.6 Å³ per cell
D(E_F): 0.000 states/eV/cell
total DFT energy (no corrections): -5.28 eV per atom
M_tot: 6.0 μB/cell